(1)
A plane-wave DFT calculation with PBE-GGA was carried out for a geometry-optimized NdMgBi2 structure.

The distance to the lowest polymorph of the same formula is 0 meV per atom. As for the size of the total moment: 0.000 μB/atom. The total energy is -4.070 eV per atom. Its formation energy is -0.5389 eV/atom. The symmetry is P4/nmm. The calculated density comes out at 8.3 g/cm³.

Cell: 4.5972 4.5972 11.1388 Å, 90.00 90.00 90.00°
Positions (direct):
1 Nd 0.2500 0.2500 0.2242
2 Nd 0.7500 0.7500 0.7758
3 Mg 0.2500 0.7500 0.5000
4 Mg 0.7500 0.2500 0.5000
5 Bi 0.2500 0.2500 0.6846
6 Bi 0.2500 0.7500 0.0000
7 Bi 0.7500 0.2500 0.0000
8 Bi 0.7500 0.7500 0.3154


(2)
A plane-wave DFT calculation with PBE-GGA was carried out for a geometry-optimized K2TaZnH structure.

As for the size of the total moment: 0.785 μB/atom. The total energy is -2.533 eV per atom. The symmetry is P4/mmm. The calculated density comes out at 3.5 g/cm³.

Cell: 6.7858 6.7858 3.3886 Å, 90.00 90.00 90.00°
Positions (direct):
1 K 0.0000 0.5000 0.0000
2 K 0.5000 0.0000 0.0000
3 Ta 0.0000 0.0000 0.5000
4 Zn 0.5000 0.5000 0.0000
5 H 0.5000 0.5000 0.5000


(3)
A plane-wave DFT calculation with PBE-GGA was carried out for a geometry-optimized NaLa3Os structure.

The distance to the lowest polymorph of the same formula is 348 meV per atom. As for the size of the total moment: 0.000 μB/atom. The total energy is -5.209 eV per atom. Its formation energy is 0.2574 eV/atom. The symmetry is R3m. The calculated density comes out at 6.2 g/cm³.

Cell: 5.5533 5.5533 5.5533 Å, 83.68 83.68 83.68°
Positions (direct):
1 Na 0.0000 0.0000 0.0000
2 La 0.0897 0.5757 0.5757
3 La 0.5757 0.0897 0.5757
4 La 0.5757 0.5757 0.0897
5 Os 0.2628 0.2628 0.2628


> Number 1 is which compound?

NdMgBi2